[1]
A plane-wave DFT calculation with GGA-PBE was carried out for Pm5PrTm after structural relaxation.

Values from the calculation:
**Calculated total energy**: -4.61 eV/atom
**Volume**: 962.2 Å³/cell

Unit cell a=8.785 b=9.913 c=11.751 alpha=90.00 beta=109.90 gamma=90.00
Space group C2/c (No. 15)
Inequivalent atoms, fractional coordinates:
Pm: 0.000 0.097 0.250 [4 per cell]
Pm: 0.119 0.433 0.162 [8 per cell]
Pm: 0.170 0.099 0.035 [8 per cell]
Pr: 0.000 0.253 0.750 [4 per cell]
Tm: 0.250 0.250 0.500 [4 per cell]

---

[2]
A plane-wave DFT calculation with GGA-PBE was carried out for Pm6Pr3Tm2 after structural relaxation.

Values from the calculation:
**E above lowest polymorph**: 252 meV per atom
**Volume**: 788.3 Å³/cell

Unit cell a=4.842 b=4.842 c=33.628 alpha=90.00 beta=90.00 gamma=90.00
Space group I4/mmm (No. 139)
Inequivalent atoms, fractional coordinates:
Pm: 0.000 0.000 0.194 [4 per cell]
Pm: 0.000 0.500 0.119 [8 per cell]
Pr: 0.000 0.000 0.297 [4 per cell]
Pr: 0.000 0.000 0.500 [2 per cell]
Tm: 0.000 0.000 0.045 [4 per cell]

---

[3]
A plane-wave DFT calculation with GGA-PBE was carried out for Pm5Pr6Tm after structural relaxation.

Values from the calculation:
**Calculated total energy**: -4.73 eV/atom
**Volume**: 837.8 Å³/cell

Unit cell a=6.366 b=11.029 c=12.120 alpha=90.00 beta=100.11 gamma=90.00
Space group C2/m (No. 12)
Inequivalent atoms, fractional coordinates:
Pm: 0.000 0.000 0.000 [2 per cell]
Pm: 0.000 0.167 0.500 [4 per cell]
Pm: 0.000 0.333 0.000 [4 per cell]
Pr: 0.249 0.334 0.748 [8 per cell]
Pr: 0.249 0.500 0.251 [4 per cell]
Tm: 0.000 0.500 0.500 [2 per cell]

---

[4]
A plane-wave DFT calculation with GGA-PBE was carried out for Pm7PrTm12 after structural relaxation.

Values from the calculation:
**E above lowest polymorph**: 0 meV per atom
**Volume**: 1940.6 Å³/cell

Unit cell a=12.8124 b=12.8124 c=13.6503 alpha=90.00 beta=90.00 gamma=120.00
Space group R-3 (No. 148, hexagonal axes)
Inequivalent atoms, fractional coordinates:
Pm: 0.0000 0.0000 0.0000 [3 per cell]
Pm: 0.0668 0.8667 0.3404 [18 per cell]
Pr: 0.0000 0.0000 0.5000 [3 per cell]
Tm: 0.9996 0.4313 0.7554 [18 per cell]
Tm: 0.0662 0.2057 0.8588 [18 per cell]

---

[5]
A plane-wave DFT calculation with GGA-PBE was carried out for Pm5Pr2Tm4 after structural relaxation.

Values from the calculation:
**E above lowest polymorph**: 0 meV per atom
**Volume**: 734.0 Å³/cell

Unit cell a=17.746 b=3.549 c=11.682 alpha=90.00 beta=94.00 gamma=90.00
Space group C2/m (No. 12)
Inequivalent atoms, fractional coordinates:
Pm: 0.000 0.000 0.000 [2 per cell]
Pm: 0.095 0.500 0.535 [4 per cell]
Pm: 0.176 0.500 0.067 [4 per cell]
Pr: 0.216 0.000 0.350 [4 per cell]
Tm: 0.031 0.500 0.257 [4 per cell]
Tm: 0.139 0.000 0.797 [4 per cell]

---

[6]
A plane-wave DFT calculation with GGA-PBE was carried out for Pm2Pr7Tm4 after structural relaxation.

Values from the calculation:
**Calculated total energy**: -4.66 eV/atom
**Volume**: 441.3 Å³/cell

Unit cell a=6.281 b=8.126 c=9.620 alpha=65.17 beta=83.87 gamma=82.89
Space group P-1 (No. 2)
Inequivalent atoms, fractional coordinates:
Pm: 0.156 0.192 0.384 [2 per cell]
Pr: 0.000 0.500 0.000 [1 per cell]
Pr: 0.074 0.345 0.693 [2 per cell]
Pr: 0.233 0.039 0.076 [2 per cell]
Pr: 0.388 0.732 0.462 [2 per cell]
Tm: 0.307 0.881 0.772 [2 per cell]
Tm: 0.463 0.574 0.150 [2 per cell]